Record 1
This record from the Alexandria database describes a relaxed MgCdCl2 crystal. The functional is PBE-GGA.

a b c (Å): 7.201 7.201 7.201
angles (deg): 90.00 90.00 90.00
Space group F-43m (No. 216)
Inequivalent atoms, fractional coordinates:
Mg: 0.000 0.000 0.000
Cd: 0.250 0.250 0.250
Cl: 0.000 0.000 0.500
Cl: 0.250 0.250 0.750

## Properties
Formation energy from raw total energies, eV per atom: -0.358
Magnetization, μB/cell: 0.00
V, Å³ per cell: 373.4
Distance to the lowest polymorph of the same formula, meV/atom: 908


Record 2
This record from the Alexandria database describes a relaxed Dy4UP5 crystal. The functional is PBE-GGA.

a b c (Å): 3.982 5.637 20.013
angles (deg): 90.00 90.00 90.00
Space group Immm (No. 71)
Inequivalent atoms, fractional coordinates:
Dy: 0.000 0.000 0.101
Dy: 0.000 0.000 0.299
U: 0.000 0.000 0.500
P: 0.000 0.500 0.097
P: 0.000 0.500 0.300
P: 0.000 0.500 0.500

## Properties
Magnetization, μB/cell: 4.58
Energy relative to the elements, eV/f.u.: -14.86
V, Å³ per cell: 449.3


Record 3
This record from the Alexandria database describes a relaxed KCd6Ag2 crystal. The functional is PBE-GGA.

a b c (Å): 13.252 13.252 13.252
angles (deg): 90.00 90.00 90.00
Space group Fd-3m (No. 227, origin choice 2)
Inequivalent atoms, fractional coordinates:
K: 0.125 0.125 0.125
Cd: 0.108 0.375 0.875
Ag: 0.000 0.000 0.500

## Properties
Magnetization, μB/cell: 0.00
Energy relative to the elements, eV/f.u.: 1.69
V, Å³ per cell: 2327.0